1.
An optimized crystal structure of SmMgMoS4, computed with PBE.

a = 7.6976 Å, b = 7.8132 Å, c = 10.7755 Å
α = 90.00°, β = 90.00°, γ = 90.00°
Closest atoms and distances in Å follow each position.
Space group Imma (No. 74)
Asymmetric unit:
Sm (0.0000, 0.0000, 0.0000) [4 per cell]  6 S 2.75-2.80
Mg (0.0000, 0.2500, 0.3771) [4 per cell]  4 S 2.43-2.55
Mo (0.2500, 0.2500, 0.7500) [4 per cell]  6 S 2.52-2.57
S (0.0000, 0.0318, 0.7416) [8 per cell]  1 Mg 2.55, 2 Mo 2.57, 1 Sm 2.80
S (0.2495, 0.2500, 0.5158) [8 per cell]  1 Mg 2.43, 1 Mo 2.52

Values from the calculation:
- Raw formation energy: -1.187 eV/atom
- E: -5.994 eV per atom

=====

2.
An optimized crystal structure of Li5Bi3H12, computed with PBE.

a = 12.2790 Å, b = 12.2790 Å, c = 12.2790 Å
α = 90.00°, β = 90.00°, γ = 90.00°
Closest atoms and distances in Å follow each position.
Space group Ia-3d (No. 230)
Asymmetric unit:
Li (0.0000, 0.0000, 0.0000) [16 per cell]  6 H 2.04
Li (0.0000, 0.2500, 0.3750) [24 per cell]  4 H 1.89
Bi (0.0000, 0.2500, 0.1250) [24 per cell]  8 H 2.33-2.36
H (0.0266, 0.0641, 0.6509) [96 per cell]  2 Li 1.89-2.04

Values from the calculation:
- E: -2.888 eV per atom

=====

3.
An optimized crystal structure of Sm2Ni12P3Pd, computed with PBE.

a = 8.6201 Å, b = 8.6201 Å, c = 11.6221 Å
α = 90.00°, β = 90.00°, γ = 120.00°
Closest atoms and distances in Å follow each position.
Space group R-3m (No. 166, hexagonal axes)
Asymmetric unit:
Sm (0.0000, 0.0000, 0.1849) [6 per cell]  6 Ni 2.54-2.75
Ni (0.0023, 0.5011, 0.1853) [18 per cell]  1 P 2.15, 1 Ni 2.33
Ni (0.0039, 0.5019, 0.6139) [18 per cell]  1 Ni 2.33, 2 P 2.58
P (0.0000, 0.5000, 0.0000) [9 per cell]  2 Ni 2.15
Pd (0.0000, 0.0000, 0.5000) [3 per cell]  6 Ni 2.48

Values from the calculation:
- E: -5.626 eV per atom
- E_form: -58 meV per atom

=====

4.
An optimized crystal structure of CdSn2Ir, computed with PBE.

a = 4.7852 Å, b = 12.5922 Å, c = 3.0709 Å
α = 90.00°, β = 90.00°, γ = 90.00°
Closest atoms and distances in Å follow each position.
Space group Cmmm (No. 65)
Asymmetric unit:
Cd (0.0000, 0.0000, 0.0000) [2 per cell]  4 Ir 2.84, 2 Cd 3.07
Sn (0.0000, 0.3198, 0.0000) [4 per cell]  2 Ir 2.74, 2 Sn 2.97
Ir (0.0000, 0.5000, 0.5000) [2 per cell]  4 Sn 2.74, 4 Cd 2.84

Values from the calculation:
- E: -4.557 eV per atom
- E_form: -112 meV per atom

=====

5.
An optimized crystal structure of AlReSe2, computed with PBE.

a = 5.7327 Å, b = 5.7327 Å, c = 10.9675 Å
α = 90.00°, β = 90.00°, γ = 90.00°
Closest atoms and distances in Å follow each position.
Space group I-42d (No. 122)
Asymmetric unit:
Al (0.0000, 0.0000, 0.0000) [4 per cell]  4 Se 2.47
Re (0.0000, 0.0000, 0.5000) [4 per cell]  4 Se 2.43
Se (0.2446, 0.2500, 0.6250) [8 per cell]  2 Re 2.43, 2 Al 2.47

Values from the calculation:
- Raw formation energy: 0.294 eV/atom
- E: -5.496 eV per atom

=====

6.
An optimized crystal structure of Nd2SmNpAs4, computed with PBE.

a = 7.2968 Å, b = 4.2093 Å, c = 7.2999 Å
α = 90.00°, β = 109.30°, γ = 90.00°
Closest atoms and distances in Å follow each position.
Space group P2/m (No. 10)
Asymmetric unit:
Nd (0.0000, 0.0000, 0.0000) [1 per cell]  6 As 3.03-3.04
Nd (0.5000, 0.5000, 0.0000) [1 per cell]  6 As 2.99-3.00
Sm (0.0000, 0.5000, 0.5000) [1 per cell]  6 As 2.96-2.97
Np (0.5000, 0.0000, 0.5000) [1 per cell]  6 As 2.91-2.93
As (0.2532, 0.0000, 0.7421) [2 per cell]  1 Np 2.91, 2 Sm 2.97, 3 Nd 3.00-3.04
As (0.2576, 0.5000, 0.2600) [2 per cell]  2 Np 2.93, 1 Sm 2.96, 3 Nd 2.99-3.03

Values from the calculation:
- E: -7.023 eV per atom
- E_form: -1299 meV per atom

=====

7.
An optimized crystal structure of ZnCdHg, computed with PBE.

a = 3.7942 Å, b = 3.9721 Å, c = 8.4555 Å
α = 90.00°, β = 90.00°, γ = 90.00°
Closest atoms and distances in Å follow each position.
Space group Imm2 (No. 44)
Asymmetric unit:
Zn (0.0000, 0.0000, 0.0000) [2 per cell]  5 Hg 2.80-3.09, 5 Cd 2.80-3.09
Cd (0.0000, 0.0000, 0.6683) [2 per cell]  5 Zn 2.80-3.09, 5 Hg 2.85-3.07
Hg (0.0000, 0.0000, 0.3315) [2 per cell]  5 Zn 2.80-3.09, 5 Cd 2.85-3.07

Values from the calculation:
- Offset from the most stable computed form: 7 meV/atom
- E: -0.753 eV per atom
- E_form: 78 meV per atom

=====

8.
An optimized crystal structure of Hg3Au8, computed with PBE.

a = 9.5776 Å, b = 9.5776 Å, c = 9.5522 Å
α = 90.00°, β = 90.00°, γ = 120.00°
Closest atoms and distances in Å follow each position.
Space group R-3 (No. 148, hexagonal axes)
Asymmetric unit:
Hg (0.0000, 0.5000, 0.0000) [9 per cell]  4 Au 2.77-2.80
Au (0.0000, 0.0000, 0.3572) [6 per cell]  4 Au 2.73-2.93, 3 Hg 2.77
Au (0.0395, 0.8392, 0.8882) [18 per cell]  4 Au 2.70-2.93, 1 Hg 2.80

Values from the calculation:
- E: -2.290 eV per atom
- E_form: 176 meV per atom

=====

9.
An optimized crystal structure of Ca2CdFe, computed with PBE.

a = 11.8280 Å, b = 3.4789 Å, c = 5.3305 Å
α = 90.00°, β = 111.01°, γ = 90.00°
Closest atoms and distances in Å follow each position.
Space group Cm (No. 8)
Asymmetric unit:
Ca (0.0000, 0.0000, 0.0000) [2 per cell]  4 Fe 3.19-3.26, 3 Cd 3.34-3.45, 4 Ca 3.47-3.49
Ca (0.2027, 0.0000, 0.6637) [2 per cell]  4 Cd 3.24-3.30, 3 Fe 3.24-3.48, 4 Ca 3.47-3.49
Cd (0.2698, 0.5000, 0.2242) [2 per cell]  2 Fe 2.74
Fe (0.4550, 0.0000, 0.4720) [2 per cell]  2 Cd 2.74

Values from the calculation:
- E: -3.150 eV per atom
- E_form: 195 meV per atom

=====

10.
An optimized crystal structure of PrSmTe2O8, computed with PBE.

a = 7.5899 Å, b = 7.5899 Å, c = 6.9662 Å
α = 90.00°, β = 90.00°, γ = 90.00°
Closest atoms and distances in Å follow each position.
Space group I-4m2 (No. 119)
Asymmetric unit:
Pr (0.0000, 0.0000, 0.0000) [2 per cell]  8 O 2.45-2.55
Sm (0.0000, 0.5000, 0.7500) [2 per cell]  8 O 2.41-2.53
Te (0.0000, 0.0000, 0.5000) [2 per cell]  4 O 1.96
Te (0.0000, 0.5000, 0.2500) [2 per cell]  4 O 1.93
O (0.0000, 0.1861, 0.6955) [8 per cell]  1 Te 1.96
O (0.0000, 0.3192, 0.0543) [8 per cell]  1 Te 1.93

Values from the calculation:
- Raw formation energy: -1.913 eV/atom
- E: -6.534 eV per atom

=====

11.
An optimized crystal structure of AlZn2, computed with PBE.

a = 3.9527 Å, b = 3.9527 Å, c = 24.0773 Å
α = 90.00°, β = 90.00°, γ = 90.00°
Closest atoms and distances in Å follow each position.
Space group I4_1/amd (No. 141, origin choice 2)
Asymmetric unit:
Al (0.0000, 0.2500, 0.2925) [8 per cell]  10 Zn 2.79-2.84, 2 Al 2.85
Zn (0.0000, 0.2500, 0.1250) [8 per cell]  8 Zn 2.79-2.81, 4 Al 2.80
Zn (0.0000, 0.2500, 0.7919) [8 per cell]  6 Al 2.79-2.84, 6 Zn 2.81-2.83

Values from the calculation:
- E: -2.082 eV per atom
- E_form: 15 meV per atom

=====

12.
An optimized crystal structure of K2NaPdPb, computed with PBE.

a = 6.1634 Å, b = 6.1634 Å, c = 5.3286 Å
α = 90.00°, β = 90.00°, γ = 90.00°
Closest atoms and distances in Å follow each position.
Space group P4/mmm (No. 123)
Asymmetric unit:
K (0.0000, 0.5000, 0.0000) [2 per cell]  2 Pd 3.08
Na (0.0000, 0.0000, 0.5000) [1 per cell]  8 K 4.07, 4 Pb 4.36
Pd (0.5000, 0.5000, 0.0000) [1 per cell]  2 Pb 2.66
Pb (0.5000, 0.5000, 0.5000) [1 per cell]  2 Pd 2.66

Values from the calculation:
- E: -2.517 eV per atom
- E_form: -34 meV per atom

=====

13.
An optimized crystal structure of La2VZn, computed with PBE.

a = 8.2720 Å, b = 8.2720 Å, c = 6.1512 Å
α = 90.00°, β = 90.00°, γ = 90.00°
Closest atoms and distances in Å follow each position.
Space group I-42d (No. 122)
Asymmetric unit:
La (0.2371, 0.2500, 0.1250) [8 per cell]  2 V 2.95, 2 La 3.08, 2 Zn 3.10
V (0.0000, 0.0000, 0.0000) [4 per cell]  4 La 2.95, 2 Zn 3.08
Zn (0.0000, 0.0000, 0.5000) [4 per cell]  2 V 3.08, 4 La 3.10

Values from the calculation:
- E: -4.629 eV per atom
- E_form: 433 meV per atom

=====

14.
An optimized crystal structure of LiDySc, computed with PBE.

a = 3.3452 Å, b = 3.3452 Å, c = 8.0590 Å
α = 90.00°, β = 90.00°, γ = 120.00°
Closest atoms and distances in Å follow each position.
Space group P3m1 (No. 156)
Asymmetric unit:
Li (0.0000, 0.0000, 0.0000) [1 per cell]  3 Sc 3.23, 6 Li 3.35, 3 Dy 3.39
Dy (0.3333, 0.6667, 0.6537) [1 per cell]  3 Sc 3.30, 6 Dy 3.35, 3 Li 3.39
Sc (0.6667, 0.3333, 0.3220) [1 per cell]  3 Li 3.23, 3 Dy 3.30, 6 Sc 3.35

Values from the calculation:
- Offset from the most stable computed form: 39 meV/atom
- E: -4.143 eV per atom
- E_form: 139 meV per atom

=====

15.
An optimized crystal structure of BaCa3Re, computed with PBE.

a = 5.7697 Å, b = 5.7697 Å, c = 5.7697 Å
α = 90.00°, β = 90.00°, γ = 90.00°
Closest atoms and distances in Å follow each position.
Space group Pm-3m (No. 221)
Asymmetric unit:
Ba (0.0000, 0.0000, 0.0000) [1 per cell]  12 Ca 4.08
Ca (0.0000, 0.5000, 0.5000) [3 per cell]  2 Re 2.88
Re (0.5000, 0.5000, 0.5000) [1 per cell]  6 Ca 2.88

Values from the calculation:
- Offset from the most stable computed form: 0 meV/atom
- E: -3.527 eV per atom
- E_form: 548 meV per atom

=====

16.
An optimized crystal structure of NdPaSi2O8, computed with PBE.

a = 7.0906 Å, b = 7.0906 Å, c = 6.2478 Å
α = 90.00°, β = 90.00°, γ = 90.00°
Closest atoms and distances in Å follow each position.
Space group I-4m2 (No. 119)
Asymmetric unit:
Nd (0.0000, 0.0000, 0.0000) [2 per cell]  8 O 2.37-2.48
Pa (0.0000, 0.5000, 0.7500) [2 per cell]  8 O 2.30-2.36
Si (0.0000, 0.0000, 0.5000) [2 per cell]  4 O 1.66
Si (0.0000, 0.5000, 0.2500) [2 per cell]  4 O 1.64
O (0.0000, 0.1847, 0.6625) [8 per cell]  1 Si 1.66
O (0.0000, 0.3279, 0.0736) [8 per cell]  1 Si 1.64

Values from the calculation:
- Raw formation energy: -3.206 eV/atom
- E: -8.604 eV per atom

=====

17.
An optimized crystal structure of MgCdSn, computed with PBE.

a = 3.9186 Å, b = 3.9186 Å, c = 9.4793 Å
α = 90.00°, β = 90.00°, γ = 90.00°
Closest atoms and distances in Å follow each position.
Space group I4mm (No. 107)
Asymmetric unit:
Mg (0.0000, 0.0000, 0.0000) [2 per cell]  5 Cd 3.15-3.19, 5 Sn 3.16-3.19
Cd (0.0000, 0.0000, 0.3323) [2 per cell]  5 Mg 3.15-3.19, 5 Sn 3.17-3.19
Sn (0.0000, 0.0000, 0.6665) [2 per cell]  5 Mg 3.16-3.19, 5 Cd 3.17-3.19

Values from the calculation:
- E: -2.199 eV per atom
- E_form: -28 meV per atom

=====

18.
An optimized crystal structure of Be4GaFe, computed with PBE.

a = 6.0015 Å, b = 6.0015 Å, c = 6.0015 Å
α = 90.00°, β = 90.00°, γ = 90.00°
Closest atoms and distances in Å follow each position.
Space group F-43m (No. 216)
Asymmetric unit:
Be (0.1232, 0.1232, 0.3768) [16 per cell]  6 Be 2.09-2.15
Ga (0.0000, 0.0000, 0.0000) [4 per cell]  12 Be 2.49, 4 Fe 2.60
Fe (0.2500, 0.2500, 0.7500) [4 per cell]  12 Be 2.48, 4 Ga 2.60

Values from the calculation:
- E: -4.530 eV per atom
- E_form: -131 meV per atom

=====

19.
An optimized crystal structure of CeAs3Rh4, computed with PBE.

a = 4.0771 Å, b = 4.0771 Å, c = 8.4066 Å
α = 90.00°, β = 90.00°, γ = 90.00°
Closest atoms and distances in Å follow each position.
Space group P4/mmm (No. 123)
Asymmetric unit:
Ce (0.0000, 0.0000, 0.0000) [1 per cell]  8 As 3.19, 8 Rh 3.42
As (0.0000, 0.0000, 0.5000) [1 per cell]  8 Rh 2.50
As (0.5000, 0.5000, 0.1620) [2 per cell]  4 Rh 2.47, 1 As 2.72
Rh (0.0000, 0.5000, 0.3269) [4 per cell]  4 As 2.47-2.50

Values from the calculation:
- E: -6.861 eV per atom
- E_form: -700 meV per atom

=====

20.
An optimized crystal structure of HgAs5, computed with PBE.

a = 5.5644 Å, b = 5.5644 Å, c = 4.9280 Å
α = 90.00°, β = 90.00°, γ = 120.00°
Closest atoms and distances in Å follow each position.
Space group P6/mmm (No. 191)
Asymmetric unit:
Hg (0.0000, 0.0000, 0.0000) [1 per cell]  6 As 3.21
As (0.0000, 0.5000, 0.5000) [3 per cell]  8 As 2.78-2.94
As (0.3333, 0.6667, 0.0000) [2 per cell]  9 As 2.94-3.21, 3 Hg 3.21

Values from the calculation:
- Offset from the most stable computed form: 222 meV/atom
- E: -3.506 eV per atom
- E_form: 419 meV per atom